[1]
Pm4Sm2Dy after structural relaxation. Source: the Alexandria database, functional PBE-GGA.

Results
Energy of formation from the pure elements ... 3.1 eV/f.u.
Theoretical density ... 7.18 Mg/m³

Cell and atoms, written as extended XYZ:
```
7
Lattice="3.069 -6.551 0.000 3.069 6.551 0.000 0.000 0.000 6.001" Properties=species:S:1:pos:R:3 pbc="T T T"
Pm 3.069 4.743 0.000
Pm 3.069 2.508 3.000
Pm 3.069 -2.508 3.000
Pm 3.069 -4.743 0.000
Sm 3.069 1.428 0.000
Sm 3.069 -1.428 0.000
Dy 0.000 0.000 3.000
```

[2]
K2Hg12Au after structural relaxation. Source: the Alexandria database, functional PBE-GGA.

Results
Energy of formation from the pure elements ... -1.7 eV/f.u.
Theoretical density ... 9.84 Mg/m³

Cell and atoms, written as extended XYZ:
```
30
Lattice="7.106 0.000 0.000 0.000 7.106 0.000 0.000 0.000 17.933" Properties=species:S:1:pos:R:3 pbc="T T T"
K 1.776 5.329 4.361
K 1.776 5.329 13.571
K 5.329 1.776 4.361
K 5.329 1.776 13.571
Hg 0.001 7.105 1.580
Hg 7.105 0.001 16.353
Hg 7.105 3.552 1.580
Hg 0.001 3.554 16.353
Hg 0.664 4.217 7.751
Hg 0.664 6.441 10.182
Hg 1.776 1.776 3.336
Hg 1.776 1.776 6.302
Hg 1.776 1.776 11.630
Hg 1.776 1.776 14.597
Hg 2.888 4.217 10.182
Hg 2.888 6.441 7.751
Hg 3.554 0.001 1.580
Hg 3.552 7.105 16.353
Hg 3.552 3.554 1.580
Hg 3.554 3.552 16.353
Hg 4.217 0.664 10.182
Hg 4.217 2.888 7.751
Hg 5.329 5.329 3.336
Hg 5.329 5.329 6.302
Hg 5.329 5.329 11.630
Hg 5.329 5.329 14.597
Hg 6.441 0.664 7.751
Hg 6.441 2.888 10.182
Au 1.776 5.329 0.000
Au 5.329 1.776 0.000
```

[3]
ZnNiP2Cl after structural relaxation. Source: the Alexandria database, functional PBE-GGA.

Results
Formation energy without anion corrections ... 1026 meV per atom
Theoretical density ... 3.59 Mg/m³

Cell and atoms, written as extended XYZ:
```
5
Lattice="4.578 0.000 0.000 0.000 4.578 0.000 0.000 0.000 4.885" Properties=species:S:1:pos:R:3 pbc="T T T"
Zn 0.000 0.000 0.000
Ni 2.289 2.289 2.443
P 0.000 2.289 0.000
P 2.289 0.000 0.000
Cl 0.000 0.000 2.443
```